## A
Computed, not measured: crystalline Mn6O5F7 at its relaxed geometry at the GGA+U level of DFT.

Density ... 4.2 g/cm³

Unit cell a=4.7261 b=5.6811 c=7.9334 alpha=86.98 beta=88.28 gamma=88.41
Fractional coordinates of all 18 atoms:
Mn 0.0000 0.0000 0.0000
Mn 0.0019 0.6786 0.3305
Mn 0.0475 0.3485 0.6505
Mn 0.4556 0.8457 0.6665
Mn 0.5146 0.1787 0.3238
Mn 0.5384 0.5255 0.0038
O 0.1899 0.6323 0.5441
O 0.3150 0.7970 0.9051
O 0.3189 0.1492 0.5446
O 0.7125 0.2251 0.1021
O 0.8157 0.7303 0.1141
F 0.2211 0.2972 0.9030
F 0.2237 0.9789 0.2361
F 0.2927 0.4770 0.2256
F 0.7086 0.8734 0.4394
F 0.7260 0.5406 0.7567
F 0.7921 0.3764 0.4236
F 0.8365 0.0606 0.7511

## B
Computed, not measured: crystalline Mn6O5F7 at its relaxed geometry at the GGA+U level of DFT.

Density ... 4.2 g/cm³

Unit cell a=5.7378 b=5.7378 c=7.3368 alpha=107.04 beta=107.04 gamma=73.09
Fractional coordinates of all 18 atoms:
Mn 0.0000 0.0000 0.0000
Mn 0.0082 0.0082 0.4956
Mn 0.3306 0.3306 0.3284
Mn 0.3560 0.3560 0.8426
Mn 0.6457 0.6457 0.1622
Mn 0.6877 0.6877 0.6482
O 0.1054 0.1054 0.2963
O 0.3143 0.6911 0.0013
O 0.5617 0.5617 0.3625
O 0.6911 0.3143 0.0013
O 0.9122 0.9122 0.7006
F 0.0053 0.3766 0.6754
F 0.0099 0.6379 0.3203
F 0.2356 0.2356 0.0332
F 0.3766 0.0053 0.6754
F 0.4542 0.4542 0.6247
F 0.6379 0.0099 0.3203
F 0.7576 0.7576 0.9575

## C
Computed, not measured: crystalline Mn6O5F7 at its relaxed geometry at the GGA+U level of DFT.

Density ... 4.2 g/cm³

Unit cell a=4.7463 b=4.7463 c=9.4705 alpha=90.01 beta=90.01 gamma=94.40
Fractional coordinates of all 18 atoms:
Mn 0.0000 0.0000 0.0000
Mn 0.0307 0.0269 0.3405
Mn 0.5003 0.4950 0.1590
Mn 0.5050 0.4997 0.8410
Mn 0.5339 0.4661 0.5000
Mn 0.9731 0.9693 0.6595
O 0.3024 0.3055 0.9984
O 0.3352 0.3078 0.3327
O 0.6922 0.6648 0.6673
O 0.6945 0.6976 0.0016
O 0.8291 0.1709 0.5000
F 0.1742 0.7982 0.8238
F 0.2018 0.8258 0.1762
F 0.2300 0.7700 0.5000
F 0.2945 0.2705 0.6775
F 0.7295 0.7055 0.3225
F 0.7992 0.1793 0.8331
F 0.8207 0.2008 0.1669

## D
Computed, not measured: crystalline Mn6O5F7 at its relaxed geometry at the GGA+U level of DFT.

Density ... 4.3 g/cm³

Unit cell a=5.6184 b=5.7340 c=7.3005 alpha=74.11 beta=74.32 gamma=72.46
Fractional coordinates of all 18 atoms:
Mn 0.0000 0.0000 0.0000
Mn 0.0040 0.0296 0.4937
Mn 0.3676 0.2858 0.1406
Mn 0.3974 0.3420 0.6636
Mn 0.6915 0.6611 0.3208
Mn 0.7000 0.6734 0.8242
O 0.1040 0.0954 0.2067
O 0.4915 0.4393 0.8554
O 0.6609 0.9928 0.1578
O 0.7229 0.3307 0.4912
O 0.9094 0.9100 0.7839
F 0.0271 0.3792 0.8157
F 0.0758 0.6068 0.1617
F 0.2812 0.2377 0.4684
F 0.3062 0.7231 0.4899
F 0.3734 0.9664 0.8440
F 0.6055 0.5374 0.1255
F 0.7674 0.7803 0.5260

Quick ranking, most stable first: C, D, A, B.

## A
Computed, not measured: crystalline Mn6O5F7 at its relaxed geometry at the GGA+U level of DFT.

Density ... 4.2 g/cm³

Unit cell a=4.7667 b=5.6739 c=7.9236 alpha=86.30 beta=89.76 gamma=89.20
Fractional coordinates of all 18 atoms:
Mn 0.0000 0.0000 0.0000
Mn 0.0033 0.6710 0.3339
Mn 0.4551 0.8387 0.6623
Mn 0.5268 0.1438 0.3270
Mn 0.5525 0.4927 0.0157
Mn 0.9967 0.3232 0.6898
O 0.1780 0.0392 0.7770
O 0.3063 0.8740 0.4261
O 0.7050 0.4438 0.2423
O 0.8126 0.2936 0.9122
O 0.8150 0.9372 0.2165
F 0.1975 0.3768 0.4531
F 0.2267 0.6987 0.0868
F 0.3018 0.2006 0.1129
F 0.3268 0.5199 0.7895
F 0.6922 0.8025 0.8863
F 0.6985 0.1312 0.5626
F 0.8070 0.6204 0.5881

## B
Computed, not measured: crystalline Mn6O5F7 at its relaxed geometry at the GGA+U level of DFT.

Density ... 4.3 g/cm³

Unit cell a=4.6615 b=5.6753 c=7.8935 alpha=86.66 beta=88.47 gamma=88.40
Fractional coordinates of all 18 atoms:
Mn 0.0000 0.0000 0.0000
Mn 0.0140 0.3359 0.6336
Mn 0.0299 0.6617 0.3100
Mn 0.5262 0.8358 0.6465
Mn 0.5474 0.1816 0.3291
Mn 0.5892 0.4989 0.9749
O 0.3421 0.1270 0.5501
O 0.7232 0.1998 0.1037
O 0.7266 0.5556 0.7302
O 0.8446 0.7160 0.1038
O 0.8479 0.3885 0.4106
F 0.1863 0.2909 0.8740
F 0.2525 0.9524 0.2327
F 0.2565 0.6419 0.5272
F 0.3108 0.8065 0.8750
F 0.3239 0.4712 0.2054
F 0.7643 0.8728 0.4312
F 0.7993 0.0298 0.7544

Quick ranking, most stable first: A, B.